# 1
First-principles (PBE) data for an optimized crystal structure of Cs4RbHg2, as listed in the Alexandria database.

Cell and atoms, written as extended XYZ:
```
7
Lattice="8.053 0.000 0.000 0.000 8.053 0.000 4.026 4.026 9.971" Properties=species:S:1:pos:R:3 pbc="T T T"
Cs 8.053 8.053 4.789
Cs 4.026 4.026 5.183
Cs 0.000 4.026 0.000
Cs 4.026 0.000 0.000
Hg 8.053 8.053 8.486
Hg 4.026 4.026 1.485
Rb 0.000 0.000 0.000
```

Summary:
electronic total energy = -4.84 eV/f.u.
SG = I4/mmm (139)
energy of formation from the pure elements = 0.0201 eV per atom

# 2
First-principles (PBE) data for an optimized crystal structure of Y2HfCu, as listed in the Alexandria database.

Cell and atoms, written as extended XYZ:
```
4
Lattice="0.000 3.633 3.633 3.633 0.000 3.633 3.633 3.633 0.000" Properties=species:S:1:pos:R:3 pbc="T T T"
Y 1.816 1.816 1.816
Y 5.449 5.449 5.449
Hf 3.633 3.633 3.633
Cu 0.000 0.000 0.000
```

Summary:
electronic total energy = -25.83 eV/f.u.
SG = Fm-3m (225)
energy of formation from the pure elements = 0.2866 eV per atom

# 3
First-principles (PBE) data for an optimized crystal structure of Ac8Co4Cl, as listed in the Alexandria database.

Cell and atoms, written as extended XYZ:
```
13
Lattice="-3.196 0.536 -2.762 -3.476 -9.951 -1.191 -8.263 1.724 6.613" Properties=species:S:1:pos:R:3 pbc="T T T"
Ac -4.298 -3.090 1.091
Ac -7.863 -1.533 2.236
Ac -7.101 -5.922 0.502
Ac -10.679 -4.398 1.656
Ac -11.833 -1.235 3.605
Ac -9.397 -8.180 2.721
Ac -3.151 -6.322 -0.863
Ac -5.603 0.743 0.063
Co -9.622 -3.063 3.974
Co -9.817 -6.753 0.202
Co -5.120 -0.730 2.501
Co -5.375 -4.403 -1.199
Cl -12.433 -6.513 3.275
```

Summary:
electronic total energy = -66.32 eV/f.u.
SG = Cm (8)

# 4
First-principles (PBE) data for an optimized crystal structure of Hg3Bi, as listed in the Alexandria database.

Cell and atoms, written as extended XYZ:
```
4
Lattice="3.322 0.000 0.000 0.000 4.583 0.000 0.000 0.000 7.425" Properties=species:S:1:pos:R:3 pbc="T T T"
Bi 0.000 0.000 0.192
Hg 1.661 0.000 3.915
Hg 1.661 2.291 5.913
Hg 0.000 2.291 2.354
```

Summary:
electronic total energy = -4.39 eV/f.u.
SG = Pmm2 (25)
energy of formation from the pure elements = 0.1003 eV per atom

# 5
First-principles (PBE) data for an optimized crystal structure of PuNpCoS4, as listed in the Alexandria database.

Cell and atoms, written as extended XYZ:
```
14
Lattice="6.403 0.000 0.120 0.000 5.624 0.000 -2.350 0.000 7.276" Properties=species:S:1:pos:R:3 pbc="T T T"
Pu 2.524 4.218 6.872
Pu 1.530 1.406 0.524
Np 3.783 4.218 3.301
Np 0.271 1.406 4.095
Co 0.780 4.218 2.292
Co 3.273 1.406 5.104
S -1.657 2.880 5.495
S 5.711 0.069 1.901
S 5.711 2.743 1.901
S -1.657 5.555 5.495
S 2.494 4.218 0.919
S 1.559 1.406 6.477
S 1.298 4.218 4.407
S 2.755 1.406 2.989
```

Summary:
electronic total energy = -59.31 eV/f.u.
SG = P2_1/m (11)

# 6
First-principles (PBE) data for an optimized crystal structure of RbSrN3, as listed in the Alexandria database.

Cell and atoms, written as extended XYZ:
```
5
Lattice="4.472 0.000 0.000 0.000 4.472 0.000 0.000 0.000 4.472" Properties=species:S:1:pos:R:3 pbc="T T T"
Sr 2.236 2.236 2.236
Rb 0.000 0.000 0.000
N 0.000 2.236 0.000
N 0.000 0.000 2.236
N 2.236 0.000 0.000
```

Summary:
electronic total energy = -16.84 eV/f.u.
SG = Pm-3m (221)

# 7
First-principles (PBE) data for an optimized crystal structure of ErZrCd5, as listed in the Alexandria database.

Cell and atoms, written as extended XYZ:
```
7
Lattice="-0.629 4.452 -0.954 -3.006 0.324 3.462 6.114 1.961 5.123" Properties=species:S:1:pos:R:3 pbc="T T T"
Er 0.000 0.000 0.000
Zr 1.239 3.369 3.816
Cd 1.238 2.724 0.824
Cd 0.050 0.660 3.032
Cd 3.057 0.981 2.562
Cd 3.058 1.625 5.553
Cd 4.246 3.689 3.345
```

Summary:
electronic total energy = -17.37 eV/f.u.
SG = Cmmm (65)
energy of formation from the pure elements = 0.0451 eV per atom

# 8
First-principles (PBE) data for an optimized crystal structure of Sr3Ta2N4, as listed in the Alexandria database.

Cell and atoms, written as extended XYZ:
```
18
Lattice="8.634 -0.016 0.007 -4.097 7.362 0.000 -0.093 -0.052 5.435" Properties=species:S:1:pos:R:3 pbc="T T T"
Sr 2.210 0.029 0.286
Sr 3.301 5.457 2.439
Sr 2.234 7.266 5.156
Sr 1.143 1.837 3.003
Sr -2.616 4.538 4.076
Sr -1.573 2.773 1.359
N -1.195 7.210 3.066
N 2.997 4.722 5.094
N 5.639 0.084 2.376
N 1.447 2.572 0.348
N 5.109 2.179 4.735
N -0.146 4.075 3.425
N -0.665 5.116 0.707
N 4.591 3.220 2.017
Ta 4.354 1.448 3.005
Ta 0.872 4.332 5.155
Ta 0.090 5.846 2.437
Ta 3.572 2.963 0.287
```

Summary:
electronic total energy = -69.14 eV/f.u.
SG = C2/c (15)

# 9
First-principles (PBE) data for an optimized crystal structure of Y2HfAg, as listed in the Alexandria database.

Cell and atoms, written as extended XYZ:
```
8
Lattice="-2.717 7.575 1.961 -5.081 -0.129 -6.541 -6.152 2.456 -0.515" Properties=species:S:1:pos:R:3 pbc="T T T"
Y -3.764 5.034 0.202
Y -5.160 1.778 -3.894
Y -7.738 4.629 -2.361
Y -11.237 8.363 -4.136
Hf 0.000 0.000 0.000
Hf -6.384 6.877 -0.422
Ag -3.899 3.723 -2.290
Ag -7.566 3.025 -4.673
```

Summary:
electronic total energy = -24.29 eV/f.u.
SG = I-42d (122)
energy of formation from the pure elements = 0.3612 eV per atom

# 10
First-principles (PBE) data for an optimized crystal structure of Rb2CrCoPd, as listed in the Alexandria database.

Cell and atoms, written as extended XYZ:
```
5
Lattice="6.739 0.000 0.000 0.000 4.796 0.000 0.000 0.000 6.739" Properties=species:S:1:pos:R:3 pbc="T T T"
Cr 0.000 0.000 0.000
Co 3.369 2.398 3.369
Rb 0.000 0.000 3.369
Rb 3.369 0.000 0.000
Pd 0.000 2.398 0.000
```

Summary:
electronic total energy = -17.59 eV/f.u.
SG = P4/mmm (123)
energy of formation from the pure elements = 1.2528 eV per atom

# 11
First-principles (PBE) data for an optimized crystal structure of W2AuBr, as listed in the Alexandria database.

Cell and atoms, written as extended XYZ:
```
4
Lattice="1.870 -4.004 1.107 -2.020 -3.884 -1.261 1.885 -2.604 -3.228" Properties=species:S:1:pos:R:3 pbc="T T T"
Au 0.867 -5.246 -1.691
Br 0.000 0.000 0.000
W 0.434 -2.623 -0.845
W 1.301 -7.869 -2.536
```

Summary:
electronic total energy = -26.36 eV/f.u.
SG = Fm-3m (225)

# 12
First-principles (PBE) data for an optimized crystal structure of Mg2ZnCdTc, as listed in the Alexandria database.

Cell and atoms, written as extended XYZ:
```
5
Lattice="-0.147 -4.464 -2.453 2.946 1.760 -3.379 4.028 -1.603 2.677" Properties=species:S:1:pos:R:3 pbc="T T T"
Mg 2.014 -0.801 1.338
Mg -0.073 -2.232 -1.226
Zn 1.473 0.880 -1.690
Tc 3.414 -2.153 -1.578
Cd 0.000 0.000 0.000
```

Summary:
electronic total energy = -10.19 eV/f.u.
SG = P4/mmm (123)
energy of formation from the pure elements = 1.1110 eV per atom

# 13
First-principles (PBE) data for an optimized crystal structure of Er6Al41Cr6, as listed in the Alexandria database.

Cell and atoms, written as extended XYZ:
```
106
Lattice="10.868 0.000 0.000 -5.434 9.412 0.000 0.000 0.000 17.380" Properties=species:S:1:pos:R:3 pbc="T T T"
Er -2.889 5.004 10.392
Er 5.778 0.000 10.392
Er 2.545 4.408 10.392
Er -2.545 4.408 6.988
Er 5.090 0.000 6.988
Er 2.889 5.004 6.988
Er -2.538 4.396 1.653
Er 5.076 0.000 1.653
Er 2.896 5.016 1.653
Er -2.896 5.016 15.727
Er 5.792 0.000 15.727
Er 2.538 4.396 15.727
Al -4.069 7.047 0.482
Al 8.138 0.000 0.482
Al 1.365 2.365 0.482
Al -1.365 2.365 16.898
Al 2.731 0.000 16.898
Al 4.069 7.047 16.898
Al -1.367 2.368 9.220
Al 2.734 0.000 9.220
Al 4.067 7.044 9.220
Al -4.067 7.044 8.160
Al 8.134 0.000 8.160
Al 1.367 2.368 8.160
Al 3.391 1.502 11.564
Al 5.039 5.725 11.564
Al 7.872 2.185 11.564
Al 2.438 7.227 11.564
Al -2.043 7.910 11.564
Al -0.395 3.687 11.564
Al 2.043 7.910 5.816
Al 0.395 3.687 5.816
Al -2.438 7.227 5.816
Al 2.996 2.185 5.816
Al 7.478 1.502 5.816
Al 5.829 5.725 5.816
Al 1.992 7.836 2.766
Al 0.357 3.769 2.766
Al -2.348 7.219 2.766
Al 3.086 2.193 2.766
Al 7.426 1.576 2.766
Al 5.791 5.643 2.766
Al 3.442 1.576 14.614
Al 5.077 5.643 14.614
Al 7.782 2.193 14.614
Al 2.348 7.219 14.614
Al -1.992 7.836 14.614
Al -0.357 3.769 14.614
Al -0.819 1.419 13.083
Al 1.639 0.000 13.083
Al 4.615 7.993 13.083
Al -4.615 7.993 4.297
Al 9.229 0.000 4.297
Al 0.819 1.419 4.297
Al 3.783 3.742 13.111
Al 6.783 4.265 13.111
Al 5.736 1.405 13.111
Al 0.302 8.007 13.111
Al -1.651 5.670 13.111
Al 1.349 5.147 13.111
Al 1.651 5.670 4.269
Al -1.349 5.147 4.269
Al -0.302 8.007 4.269
Al 5.132 1.405 4.269
Al 7.085 3.742 4.269
Al 4.085 4.265 4.269
Al 4.025 2.324 8.690
Al 5.434 4.765 8.690
Al 6.843 2.324 8.690
Al 1.409 7.088 8.690
Al -1.409 7.088 8.690
Al 0.000 4.647 8.690
Al 1.323 7.039 0.000
Al 0.000 4.747 0.000
Al -1.323 7.039 0.000
Al 4.111 2.373 0.000
Al 6.757 2.373 0.000
Al 5.434 4.665 0.000
Al -4.591 7.952 10.703
Al 9.182 0.000 10.703
Al 0.843 1.460 10.703
Al -0.843 1.460 6.677
Al 1.686 0.000 6.677
Al 4.591 7.952 6.677
Al -0.839 1.454 2.005
Al 1.679 0.000 2.005
Al 4.595 7.958 2.005
Al -4.595 7.958 15.375
Al 9.189 0.000 15.375
Al 0.839 1.454 15.375
Al 5.434 3.137 10.899
Al 0.000 6.275 10.899
Al 0.000 6.275 6.480
Al 5.434 3.137 6.480
Cr 0.000 0.000 8.690
Cr 0.000 0.000 0.000
Cr -4.013 6.950 13.020
Cr 8.026 0.000 13.020
Cr 1.421 2.462 13.020
Cr -1.421 2.462 4.359
Cr 2.842 0.000 4.359
Cr 4.013 6.950 4.359
Cr 0.000 6.275 2.327
Cr 5.434 3.137 2.327
Cr 5.434 3.137 15.053
Cr 0.000 6.275 15.053
```

Summary:
electronic total energy = -253.41 eV/f.u.
SG = P-31m (162)
energy of formation from the pure elements = -0.2801 eV per atom

# 14
First-principles (PBE) data for an optimized crystal structure of Cs2CeSn2Se6, as listed in the Alexandria database.

Cell and atoms, written as extended XYZ:
```
11
Lattice="7.928 0.000 0.000 -3.964 6.754 -0.376 0.000 -4.323 7.941" Properties=species:S:1:pos:R:3 pbc="T T T"
Cs 3.964 1.972 1.442
Cs 0.000 0.460 6.123
Ce 3.964 -2.161 3.970
Sn 3.964 2.695 6.131
Sn 0.000 -0.263 1.433
Se 3.964 0.518 4.771
Se -1.874 5.071 1.436
Se 2.089 -2.639 6.128
Se 5.838 -2.639 6.128
Se 1.874 5.071 1.436
Se 0.000 1.913 2.793
```

Summary:
electronic total energy = -46.94 eV/f.u.
SG = C2/m (12)

# 15
First-principles (PBE) data for an optimized crystal structure of GaSn2Sb, as listed in the Alexandria database.

Cell and atoms, written as extended XYZ:
```
4
Lattice="3.473 2.818 2.830 -0.931 0.978 5.118 2.923 -2.370 3.722" Properties=species:S:1:pos:R:3 pbc="T T T"
Sb 2.733 0.713 5.835
Sn 1.366 0.356 2.917
Sn 4.099 1.069 8.752
Ga 0.000 0.000 0.000
```

Summary:
electronic total energy = -14.67 eV/f.u.
SG = Fm-3m (225)

# 16
First-principles (PBE) data for an optimized crystal structure of MgHg2Pb6, as listed in the Alexandria database.

Cell and atoms, written as extended XYZ:
```
9
Lattice="3.594 0.000 0.000 -1.797 3.112 0.000 0.000 0.000 23.733" Properties=species:S:1:pos:R:3 pbc="T T T"
Mg 0.000 2.075 0.000
Hg 1.797 1.037 7.779
Hg 1.797 1.037 15.953
Pb 1.797 1.037 21.357
Pb 0.000 2.075 10.264
Pb 0.000 2.075 18.502
Pb 0.000 2.075 5.230
Pb 0.000 2.075 13.469
Pb 1.797 1.037 2.376
```

Summary:
electronic total energy = -24.15 eV/f.u.
SG = P-6m2 (187)
energy of formation from the pure elements = 0.0337 eV per atom

# 17
First-principles (PBE) data for an optimized crystal structure of Y2ZnCu4Ge3, as listed in the Alexandria database.

Cell and atoms, written as extended XYZ:
```
10
Lattice="-1.040 1.016 3.797 1.856 -3.335 1.401 8.769 5.293 0.985" Properties=species:S:1:pos:R:3 pbc="T T T"
Y 1.616 1.797 2.138
Y 7.561 2.337 1.445
Zn 4.792 1.487 3.091
Cu 0.408 -1.159 2.599
Cu 0.000 0.000 0.000
Cu 5.054 3.872 2.524
Cu 4.123 0.261 1.059
Ge 4.384 2.647 0.493
Ge 7.061 5.084 2.750
Ge 2.116 -0.950 0.834
```

Summary:
electronic total energy = -49.20 eV/f.u.
SG = P-4m2 (115)
energy of formation from the pure elements = -0.4761 eV per atom